Mg2ZrCd: single point on PBEsol structure, meta-GGA SCAN.

Computed properties:
Density of states at the Fermi level (states/eV per cell): 2.05
Space group: P4/mmm, No. 123
Electronic total energy (eV per atom): -17.860
Spin magnetization (μB per cell): 0.5
ΔE_f (eV/atom): -0.10

Lattice parameters (Å, degrees): 3.1324 3.1324 8.5476 90.00 90.00 90.00
Atoms (fractional coordinates):
Mg 0.0000 0.0000 0.7386
Mg 0.0000 0.0000 0.2614
Zr 0.5000 0.5000 0.0000
Cd 0.5000 0.5000 0.5000